Record 1
This record from the Alexandria database describes a geometry-optimized TbU2Pd9 structure. The functional is GGA-PBE.

energy of formation = -0.658 eV per atom

```
TbU2Pd9
1.0
4.1398 0.0000 0.0000
0.0000 4.1398 0.0000
0.0000 0.0000 12.4207
U Pd Tb
2 9 1
Direct
0.0000 0.0000 0.6684
0.0000 0.0000 0.3316
0.5000 0.5000 0.3339
0.5000 0.0000 0.5000
0.0000 0.5000 0.1689
0.5000 0.0000 0.1689
0.5000 0.5000 0.6661
0.0000 0.5000 0.8311
0.0000 0.5000 0.5000
0.5000 0.5000 0.0000
0.5000 0.0000 0.8311
0.0000 0.0000 0.0000
```

---

Record 2
This record from the Alexandria database describes a geometry-optimized TiNi7 structure. The functional is GGA-PBE.

energy of formation = -0.187 eV per atom

```
TiNi7
1.0
4.0907 0.0000 0.0000
0.0000 4.3812 -2.5295
0.0000 0.0000 5.0589
Ni Ti
7 1
Direct
0.5000 0.8289 0.6577
0.5000 0.3423 0.1711
0.5000 0.3333 0.6667
0.0000 0.0029 0.5014
0.0000 0.4986 0.9971
0.5000 0.8289 0.1711
0.0000 0.4986 0.5014
0.0000 0.0000 0.0000
```

---

Record 3
This record from the Alexandria database describes a geometry-optimized K2ScBr structure. The functional is GGA-PBE.

uncorrected formation energy = -0.1164 eV/atom

```
K2ScBr
1.0
12.0814 0.0000 0.0000
0.0000 12.0814 0.0000
6.0407 6.0407 2.6588
Br Sc K
2 2 4
Direct
0.0000 0.0000 0.0000
0.7500 0.2500 0.5000
0.5000 0.5000 0.0000
0.2500 0.7500 0.5000
0.8750 0.0081 0.7500
0.3750 0.2419 0.7500
0.7581 0.1250 0.2500
0.9919 0.6250 0.2500
```

---

Record 4
This record from the Alexandria database describes a geometry-optimized Co2MoAs structure. The functional is GGA-PBE.

energy of formation = 0.067 eV per atom

```
Co2MoAs
1.0
-2.5842 -2.2782 1.6627
-0.7794 -0.9250 -2.4788
2.9757 -4.0723 -0.9548
Co Mo As
2 1 1
Direct
0.5000 0.1935 0.2390
0.0000 0.8105 0.0053
0.0000 0.5630 0.4996
0.5000 0.9330 0.7561
```

---

Record 5
This record from the Alexandria database describes a geometry-optimized TaV6Ga4 structure. The functional is GGA-PBE.

energy of formation = 0.455 eV per atom

```
TaV6Ga4
1.0
6.3256 0.1202 0.1767
-2.8181 5.6645 -0.1767
-2.8181 -2.2469 5.2027
V Ga Ta
6 4 1
Direct
0.0000 0.7669 0.5439
0.5000 0.0000 0.5000
0.5000 0.5000 0.0000
0.2230 0.4561 0.4561
0.0000 0.5439 0.7669
0.7770 0.2331 0.2331
0.5229 0.3684 0.3684
0.4771 0.8455 0.8455
0.0000 0.6316 0.1545
0.0000 0.1545 0.6316
0.0000 0.0000 0.0000
```

---

Record 6
This record from the Alexandria database describes a geometry-optimized NbCd2TeF structure. The functional is GGA-PBE.

uncorrected formation energy = 0.5450 eV/atom

```
NbCd2TeF
1.0
5.6957 0.0000 0.0000
0.0000 4.2674 0.0000
0.0000 0.0000 5.6957
Te Cd Nb F
1 2 1 1
Direct
0.0000 0.0000 0.0000
0.5000 0.0000 0.0000
0.0000 0.0000 0.5000
0.5000 0.5000 0.5000
0.0000 0.5000 0.0000
```

---

| no. | final energy (eV per atom) |
| --- | --- |
| 1 | -6.820 |
| 2 | -6.232 |
| 3 | -2.666 |
| 4 | -7.356 |
| 5 | -6.697 |
| 6 | -2.838 |